RbTc3P | GGA-PBE | relaxed

Geometry as CIF:
```
data_RbTc3P
_chemical_formula_sum 'Rb1 Tc3 P1'
_space_group_name_H-M_alt 'P m -3 m'
_space_group_IT_number 221
_space_group_name_Hall '-P 4 2 3'
_cell_length_a 4.619
_cell_length_b 4.619
_cell_length_c 4.619
_cell_angle_alpha 90.00
_cell_angle_beta 90.00
_cell_angle_gamma 90.00
loop_
_atom_site_label
_atom_site_fract_x
_atom_site_fract_y
_atom_site_fract_z
_atom_site_occupancy
Rb1 0.000 0.000 0.000 1
Tc1 0.000 0.500 0.500 1
P1 0.500 0.500 0.500 1
```

Output
Uncorrected energy ... -6.436 eV per atom
Formation energy ... 1059 meV/atom
Spin magnetization ... 3.82 μB/cell